[1]
Computed, not measured: a relaxed structure of Mg2TlCl at the PBE level of DFT.

Output
Its energy relative to the elements, uncorrected is -63 kJ/mol of formula units.

Lattice parameters (Å, degrees): 7.4226 7.4226 7.4226 90.00 90.00 90.00
Space group Fm-3m (No. 225)
Unique sites:
1 Mg 0.2500 0.2500 0.2500
2 Tl 0.0000 0.0000 0.0000
3 Cl 0.0000 0.0000 0.5000

[2]
Computed, not measured: a relaxed structure of ScFe2SiH at the PBE level of DFT.

Output
For the calculated total energy, the calculation gives -6.895 eV/atom.

Lattice parameters (Å, degrees): 3.3288 10.0587 7.0362 90.00 90.00 90.00
Space group Cmcm (No. 63)
Unique sites:
1 Sc 0.0000 0.0425 0.2500
2 Fe 0.0000 0.3391 0.0522
3 Si 0.0000 0.2366 0.7500
4 H 0.0000 0.5000 0.0000

[3]
Computed, not measured: a relaxed structure of YFe4Mo at the PBE level of DFT.

Output
The calculation puts the formation enthalpy at 0 K at 0.112 eV per atom.

Lattice parameters (Å, degrees): 6.9924 6.9924 6.9924 90.00 90.00 90.00
Space group F-43m (No. 216)
Unique sites:
1 Y 0.0000 0.0000 0.0000
2 Fe 0.1238 0.1238 0.6238
3 Mo 0.2500 0.2500 0.2500

[4]
Computed, not measured: a relaxed structure of HoGa6Ag12 at the PBE level of DFT.

Output
The calculation puts the formation enthalpy at 0 K at 0.032 eV per atom.

Lattice parameters (Å, degrees): 11.9956 11.9956 8.8601 90.00 90.00 120.00
Space group R-3m (No. 166, hexagonal axes)
Unique sites:
1 Ho 0.0000 0.0000 0.0000
2 Ga 0.0516 0.5258 0.2457
3 Ag 0.0000 0.3832 0.5000
4 Ag 0.0810 0.1619 0.2982

[5]
Computed, not measured: a relaxed structure of RbSnB at the PBE level of DFT.

Output
The calculation puts the formation enthalpy at 0 K at 0.386 eV per atom.

Lattice parameters (Å, degrees): 3.7236 7.5204 7.7133 68.33 89.88 75.83
Space group P1 (No. 1)
Unique sites:
1 Rb 0.0000 0.0000 0.0000
2 Rb 0.2929 0.4006 0.3765
3 Sn 0.2400 0.5164 0.8406
4 Sn 0.5819 0.8391 0.4915
5 B 0.6137 0.7722 0.7936
6 B 0.6871 0.6212 0.0003

[6]
Computed, not measured: a relaxed structure of Zr2HgAu at the PBE level of DFT.

Output
The calculation puts the formation enthalpy at 0 K at -0.128 eV per atom.

Lattice parameters (Å, degrees): 9.7900 3.1903 5.6853 90.00 100.57 90.00
Space group C2/m (No. 12)
Unique sites:
1 Zr 0.2452 0.0000 0.2367
2 Hg 0.0000 0.0000 0.5000
3 Au 0.0000 0.5000 0.0000

[7]
Computed, not measured: a relaxed structure of K6Br4O at the PBE level of DFT.

Output
Its energy relative to the elements, uncorrected is -1657 kJ/mol of formula units.

Lattice parameters (Å, degrees): 12.7936 12.7936 15.9719 90.00 90.00 120.00
Space group R-3c (No. 167, hexagonal axes)
Unique sites:
1 K 0.0249 0.1770 0.4047
2 Br 0.0000 0.0000 0.2500
3 Br 0.0000 0.3670 0.2500
4 O 0.0000 0.0000 0.0000

[8]
Computed, not measured: a relaxed structure of FeSeS2N at the PBE level of DFT.

Output
Its energy relative to the elements, uncorrected is 258 kJ/mol of formula units.

Lattice parameters (Å, degrees): 4.6319 4.6319 3.4390 90.00 90.00 90.00
Space group P4/mmm (No. 123)
Unique sites:
1 Fe 0.0000 0.0000 0.0000
2 Se 0.5000 0.5000 0.5000
3 S 0.0000 0.5000 0.0000
4 N 0.0000 0.0000 0.5000

[9]
Computed, not measured: a relaxed structure of NaCuPO4 at the PBE level of DFT.

Output
Its energy relative to the elements, uncorrected is -1187 kJ/mol of formula units.

Lattice parameters (Å, degrees): 4.8453 7.4314 9.7910 90.00 90.00 90.00
Space group P2_12_12_1 (No. 19)
Unique sites:
1 Na 0.0250 0.2357 0.1833
2 Cu 0.0044 0.5727 0.9500
3 P 0.0717 0.9772 0.8714
4 O 0.1681 0.0466 0.7297
5 O 0.2024 0.7848 0.8913
6 O 0.2190 0.0991 0.9798
7 O 0.2454 0.4803 0.6150

[10]
Computed, not measured: a relaxed structure of CaAl6Cu2 at the PBE level of DFT.

Output
The calculation puts the formation enthalpy at 0 K at -0.108 eV per atom.

Lattice parameters (Å, degrees): 11.0860 7.7705 4.1736 90.00 112.03 90.00
Space group C2/m (No. 12)
Unique sites:
1 Ca 0.0000 0.0000 0.0000
2 Al 0.0000 0.3226 0.5000
3 Al 0.1885 0.3227 0.1888
4 Cu 0.2097 0.5000 0.7101

[11]
Computed, not measured: a relaxed structure of NaVCd at the PBE level of DFT.

Output
The calculation puts the formation enthalpy at 0 K at 0.466 eV per atom.

Lattice parameters (Å, degrees): 5.0474 5.1471 5.8796 73.37 67.35 73.28
Space group P-1 (No. 2)
Unique sites:
1 Na 0.1693 0.2251 0.3840
2 V 0.1526 0.8493 0.9801
3 Cd 0.3979 0.3425 0.7751

[12]
Computed, not measured: a relaxed structure of ZrCdH2Cl at the PBE level of DFT.

Output
For the calculated total energy, the calculation gives -2.823 eV/atom.

Lattice parameters (Å, degrees): 4.2082 4.2082 4.9394 90.00 90.00 90.00
Space group P4/mmm (No. 123)
Unique sites:
1 Zr 0.0000 0.0000 0.0000
2 Cd 0.5000 0.5000 0.0000
3 H 0.0000 0.5000 0.5000
4 Cl 0.0000 0.0000 0.5000